The following is a GGA-PBE calculation of Re2TeP after structural relaxation, from Alexandria.

Unit cell a=2.9289 b=2.9289 c=9.8880 alpha=90.00 beta=90.00 gamma=118.10
With the nearest neighbours (Å) after each atom.
Fractional positions:
Re  0.0000  0.0000  0.0000  2 P 2.40, 2 Re 2.67
Re  0.5000  0.5000  0.2235  6 Re 2.67-2.93, 2 Te 2.81
Te  0.0000  0.0000  0.4631  2 Re 2.81, 6 Te 2.93-3.01
P  0.5000  0.5000  0.8111  2 Re 2.40

Properties
Space-group type: Cmm2, No. 35
E above lowest polymorph: 0.471 eV per atom
Crystal system: orthorhombic

The following is a GGA-PBE calculation of ReTe3P after structural relaxation, from Alexandria.

Unit cell a=5.1833 b=5.1833 c=5.1833 alpha=90.00 beta=90.00 gamma=90.00
With the nearest neighbours (Å) after each atom.
Fractional positions:
Re  0.0000  0.0000  0.0000  6 Te 2.59
Te  0.0000  0.0000  0.5000  2 Re 2.59
Te  0.0000  0.5000  0.0000  2 Re 2.59
Te  0.5000  0.0000  0.0000  2 Re 2.59
P  0.5000  0.5000  0.5000  12 Te 3.67

Properties
Space-group type: Pm-3m, No. 221
E above lowest polymorph: 0.000 eV per atom
Crystal system: cubic

The following is a GGA-PBE calculation of ReTe2P after structural relaxation, from Alexandria.

Unit cell a=7.8843 b=7.8843 c=7.8843 alpha=26.06 beta=26.06 gamma=26.06
With the nearest neighbours (Å) after each atom.
Fractional positions:
Re  0.0000  0.0000  0.0000  6 Te 2.77
Te  0.2522  0.2522  0.2522  3 Re 2.77, 3 P 2.83
Te  0.7478  0.7478  0.7478  3 Re 2.77, 3 P 2.83
P  0.5000  0.5000  0.5000  6 Te 2.83

Properties
Space-group type: R-3m, No. 166
E: -5.40 eV per atom
Crystal system: trigonal